No. 1
Ac3ZnGa2 | PBE | optimized geometry

Values from the calculation:
The calculation puts the energy at -0.2685 Ry per atom. Its density is 8.1 g/cm³. Its formation energy is -378 meV/atom. For the energy relative to the lowest polymorph listed for this composition, the calculation gives 0 meV per atom. The calculation puts the density of states at the Fermi level at 1.12 states/eV per atom.

Lattice parameters (Å, degrees): 5.5436 5.5436 13.5874 90.00 90.00 120.00
With the nearest neighbours (Å) after each atom.
Space group P-3m1 (No. 164)
Unique sites:
Ac  0.0000  0.0000  0.2493  5 Ga 3.37-3.41, 3 Zn 3.39
Ac  0.3333  0.6667  0.4169  4 Ga 3.35-3.39, 4 Zn 3.40-3.41
Ac  0.3333  0.6667  0.9173  1 Zn 3.39, 7 Ga 3.39-3.44
Zn  0.3333  0.6667  0.6678  8 Ac 3.39-3.41
Ga  0.0000  0.0000  0.0000  8 Ac 3.39
Ga  0.0000  0.0000  0.5000  8 Ac 3.39-3.41
Ga  0.3333  0.6667  0.1705  8 Ac 3.35-3.44



No. 2
Ac2ZnGa7 | PBE | optimized geometry

Values from the calculation:
The calculation puts the energy at -0.2610 Ry per atom. Its density is 7.7 g/cm³. Its formation energy is -484 meV/atom. The calculation puts the density of states at the Fermi level at 0.27 states/eV per atom.

Lattice parameters (Å, degrees): 4.5625 4.5625 10.4333 90.00 90.00 90.00
With the nearest neighbours (Å) after each atom.
Space group P-4m2 (No. 115)
Unique sites:
Ac  0.0000  0.5000  0.2480  2 Zn 3.45, 14 Ga 3.45-3.48
Zn  0.5000  0.5000  0.0000  4 Ga 2.64
Ga  0.0000  0.0000  0.0000  4 Ga 2.64
Ga  0.0000  0.0000  0.5000  4 Ga 2.65
Ga  0.0000  0.5000  0.6287  5 Ga 2.56-2.65
Ga  0.0000  0.5000  0.8736  3 Ga 2.56-2.64, 2 Zn 2.64
Ga  0.5000  0.5000  0.5000  4 Ga 2.65